(1)
# Cd3CoHg | Alexandria | GGA-PBE | optimized geometry
# Energy of formation from the pure elements ... 378 meV per atom
# Total moment ... 0.599 μB per formula unit
data_Cd3CoHg
_chemical_formula_sum 'Cd3 Co1 Hg1'
_space_group_name_H-M_alt 'P m -3 m'
_space_group_IT_number 221
_space_group_name_Hall '-P 4 2 3'
_cell_length_a 5.038
_cell_length_b 5.038
_cell_length_c 5.038
_cell_angle_alpha 90.00
_cell_angle_beta 90.00
_cell_angle_gamma 90.00
loop_
_atom_site_label
_atom_site_fract_x
_atom_site_fract_y
_atom_site_fract_z
Cd1 0.000 0.000 0.500
Co1 0.000 0.000 0.000
Hg1 0.500 0.500 0.500

---

(2)
# CdIn2CoHg | Alexandria | GGA-PBE | optimized geometry
# Energy of formation from the pure elements ... 110 meV per atom
# Total moment ... 0.000 μB per formula unit
data_CdIn2CoHg
_chemical_formula_sum 'Cd1 In2 Co1 Hg1'
_space_group_name_H-M_alt 'P 4/m m m'
_space_group_IT_number 123
_space_group_name_Hall '-P 4 2'
_cell_length_a 4.973
_cell_length_b 4.973
_cell_length_c 5.109
_cell_angle_alpha 90.00
_cell_angle_beta 90.00
_cell_angle_gamma 90.00
loop_
_atom_site_label
_atom_site_fract_x
_atom_site_fract_y
_atom_site_fract_z
Cd1 0.000 0.000 0.000
In1 0.000 0.500 0.500
Co1 0.000 0.000 0.500
Hg1 0.500 0.500 0.000

---

(3)
# CdIn2CoHg | Alexandria | GGA-PBE | optimized geometry
# Energy of formation from the pure elements ... 173 meV per atom
# Total moment ... 0.000 μB per formula unit
data_CdIn2CoHg
_chemical_formula_sum 'Cd1 In2 Co1 Hg1'
_space_group_name_H-M_alt 'P 4/m m m'
_space_group_IT_number 123
_space_group_name_Hall '-P 4 2'
_cell_length_a 4.971
_cell_length_b 4.971
_cell_length_c 5.124
_cell_angle_alpha 90.00
_cell_angle_beta 90.00
_cell_angle_gamma 90.00
loop_
_atom_site_label
_atom_site_fract_x
_atom_site_fract_y
_atom_site_fract_z
Cd1 0.000 0.000 0.000
In1 0.000 0.500 0.500
Co1 0.500 0.500 0.500
Hg1 0.500 0.500 0.000

---

(4)
# KCd2CoHg | Alexandria | GGA-PBE | optimized geometry
# Energy of formation from the pure elements ... 96 meV per atom
# Total moment ... 0.002 μB per formula unit
data_KCd2CoHg
_chemical_formula_sum 'K1 Cd2 Co1 Hg1'
_space_group_name_H-M_alt 'P 4/m m m'
_space_group_IT_number 123
_space_group_name_Hall '-P 4 2'
_cell_length_a 5.093
_cell_length_b 5.093
_cell_length_c 5.135
_cell_angle_alpha 90.00
_cell_angle_beta 90.00
_cell_angle_gamma 90.00
loop_
_atom_site_label
_atom_site_fract_x
_atom_site_fract_y
_atom_site_fract_z
K1 0.000 0.000 0.000
Cd1 0.000 0.500 0.500
Co1 0.500 0.500 0.500
Hg1 0.500 0.500 0.000

---

(5)
# La6Cd2CoHg | Alexandria | GGA-PBE | optimized geometry
# Energy of formation from the pure elements ... -211 meV per atom
# Total moment ... 0.000 μB per formula unit
data_La6Cd2CoHg
_chemical_formula_sum 'La6 Cd2 Co1 Hg1'
_space_group_name_H-M_alt 'P 1'
_space_group_IT_number 1
_space_group_name_Hall 'P 1'
_cell_length_a 6.484
_cell_length_b 6.757
_cell_length_c 8.346
_cell_angle_alpha 68.74
_cell_angle_beta 68.89
_cell_angle_gamma 70.16
loop_
_atom_site_label
_atom_site_fract_x
_atom_site_fract_y
_atom_site_fract_z
La1 0.000 0.000 0.000
La2 0.052 0.372 0.210
La3 0.165 0.483 0.686
La4 0.453 0.788 0.240
La5 0.571 0.545 0.868
La6 0.685 0.080 0.688
Cd1 0.258 0.986 0.590
Cd2 0.554 0.241 0.285
Co1 0.408 0.187 0.992
Hg1 0.837 0.758 0.428

---

(6)
# LaCdCo2Hg | Alexandria | GGA-PBE | optimized geometry
# Energy of formation from the pure elements ... 730 meV per atom
# Total moment ... 3.000 μB per formula unit
data_LaCdCo2Hg
_chemical_formula_sum 'La1 Cd1 Co2 Hg1'
_space_group_name_H-M_alt 'P 4/m m m'
_space_group_IT_number 123
_space_group_name_Hall '-P 4 2'
_cell_length_a 4.955
_cell_length_b 4.955
_cell_length_c 5.081
_cell_angle_alpha 90.00
_cell_angle_beta 90.00
_cell_angle_gamma 90.00
loop_
_atom_site_label
_atom_site_fract_x
_atom_site_fract_y
_atom_site_fract_z
La1 0.000 0.000 0.000
Cd1 0.500 0.500 0.000
Co1 0.000 0.500 0.500
Hg1 0.500 0.500 0.500

---

(7)
# La7CdCo2Hg2 | Alexandria | GGA-PBE | optimized geometry
# Energy of formation from the pure elements ... -233 meV per atom
# Total moment ... 0.000 μB per formula unit
data_La7CdCo2Hg2
_chemical_formula_sum 'La14 Cd2 Co4 Hg4'
_space_group_name_H-M_alt 'C 1 2/m 1'
_space_group_IT_number 12
_space_group_name_Hall '-C 2y'
_cell_length_a 7.502
_cell_length_b 7.516
_cell_length_c 13.791
_cell_angle_alpha 90.00
_cell_angle_beta 105.70
_cell_angle_gamma 90.00
loop_
_atom_site_label
_atom_site_fract_x
_atom_site_fract_y
_atom_site_fract_z
La1 0.000 0.000 0.000
La2 0.151 0.250 0.802
La3 0.207 0.000 0.415
Cd1 0.000 0.500 0.000
Co1 0.102 0.000 0.202
Hg1 0.174 0.500 0.352

---

(8)
# Cd2CoHgOs | Alexandria | GGA-PBE | optimized geometry
# Energy of formation from the pure elements ... 1879 meV per atom
# Total moment ... 4.284 μB per formula unit
data_Cd2CoHgOs
_chemical_formula_sum 'Cd2 Co1 Hg1 Os1'
_space_group_name_H-M_alt 'P 4/m m m'
_space_group_IT_number 123
_space_group_name_Hall '-P 4 2'
_cell_length_a 5.132
_cell_length_b 5.132
_cell_length_c 4.801
_cell_angle_alpha 90.00
_cell_angle_beta 90.00
_cell_angle_gamma 90.00
loop_
_atom_site_label
_atom_site_fract_x
_atom_site_fract_y
_atom_site_fract_z
Cd1 0.000 0.500 0.000
Co1 0.000 0.000 0.500
Hg1 0.000 0.000 0.000
Os1 0.500 0.500 0.500

---

no.,ρ (g/cm3),density of states at the Fermi level (states/eV/cell)
1,7.7,4.942
2,7.9,2.476
3,7.9,2.810
4,6.5,3.344
5,7.1,11.096
6,7.6,5.988
7,7.1,31.892
8,8.9,8.185